## Cs2NaInHg (PBE-GGA)

Data for crystalline Cs2NaInHg at its relaxed geometry.

Summary:
Its energy relative to the elements is 0.027 eV/atom. As for the crystal system: tetragonal.

Cell lengths 7.3735, 7.3735, 5.6287 Å; angles 90.00, 90.00, 90.00 degrees
Last column: nearest neighbours and their distance in Å.
Atoms (fractional coordinates):
1 In 0.0000 0.0000 0.5000  2 Hg 2.81
2 Cs 0.5000 0.0000 0.0000  2 Hg 3.69
3 Hg 0.0000 0.0000 0.0000  2 In 2.81
4 Na 0.5000 0.5000 0.5000  8 Cs 4.64
5 Cs 0.0000 0.5000 0.0000  2 Hg 3.69

---

## ThPaC (PBE-GGA)

Data for crystalline ThPaC at its relaxed geometry.

Summary:
Its energy relative to the elements is 0.278 eV/atom. As for the energy above the most stable polymorph in this dataset: 0.404 eV/atom. As for the crystal system: orthorhombic.

Cell lengths 3.1730, 3.1806, 12.0877 Å; angles 82.44, 90.00, 90.00 degrees
Last column: nearest neighbours and their distance in Å.
Atoms (fractional coordinates):
1 Th 0.7500 0.6840 0.6320  4 C 2.83, 1 Pa 2.97
2 Pa 0.7500 0.5602 0.8795  4 C 2.57
3 Th 0.2500 0.3160 0.3680  4 C 2.83, 1 Pa 2.97
4 Pa 0.2500 0.4398 0.1205  4 C 2.57
5 C 0.7500 0.8877 0.2246  4 Pa 2.57, 4 Th 2.83
6 C 0.2500 0.1123 0.7754  4 Pa 2.57, 4 Th 2.83

---

## Rb2CaTe2 (PBE-GGA)

Data for crystalline Rb2CaTe2 at its relaxed geometry.

Summary:
As for the energy above the most stable polymorph in this dataset: 0.675 eV/atom. The calculation puts the uncorrected formation energy at -553 meV per atom. As for the crystal system: tetragonal.

Cell lengths 6.4491, 6.4491, 6.9039 Å; angles 62.16, 62.16, 90.00 degrees
Last column: nearest neighbours and their distance in Å.
Atoms (fractional coordinates):
1 Rb 0.6495 0.6495 0.7009  1 Rb 3.10, 4 Te 3.39
2 Ca 0.0000 0.0000 0.0000  2 Rb 3.63
3 Te 0.2500 0.7500 0.5000  4 Rb 3.39
4 Rb 0.3505 0.3505 0.2991  1 Rb 3.10, 4 Te 3.39
5 Te 0.7500 0.2500 0.5000  4 Rb 3.39

---

## Ce2BiI3 (PBE-GGA)

Data for crystalline Ce2BiI3 at its relaxed geometry.

Summary:
The calculation puts the uncorrected formation energy at -1087 meV per atom. As for the crystal system: monoclinic.

Cell lengths 4.3803, 11.3123, 13.3441 Å; angles 120.37, 90.00, 101.16 degrees
Last column: nearest neighbours and their distance in Å.
Atoms (fractional coordinates):
1 I 0.3243 0.6486 0.1662  3 Ce 3.25-3.30
2 Bi 0.9189 0.8378 0.9915  6 Ce 3.17-3.53, 1 Bi 3.49
3 Ce 0.7011 0.4023 0.1000  4 I 3.06-3.30, 2 Bi 3.17
4 Ce 0.2989 0.5977 0.9000  4 I 3.06-3.30, 2 Bi 3.17
5 I 0.6757 0.3514 0.8338  3 Ce 3.25-3.30
6 I 0.7107 0.4213 0.3367  2 Ce 3.06-3.22
7 I 0.9505 0.9010 0.6476  2 Ce 3.17
8 Ce 0.5419 0.0837 0.1744  3 I 3.17-3.22, 4 Bi 3.37-3.53
9 Ce 0.4581 0.9163 0.8256  3 I 3.17-3.22, 4 Bi 3.37-3.53
10 Bi 0.0811 0.1622 0.0085  6 Ce 3.17-3.53, 1 Bi 3.49
11 I 0.2893 0.5787 0.6633  2 Ce 3.06-3.22
12 I 0.0495 0.0990 0.3524  2 Ce 3.17

---

## Nd3HfPd12 (PBE-GGA)

Data for crystalline Nd3HfPd12 at its relaxed geometry.

Summary:
Its energy relative to the elements is -0.800 eV/atom. As for the crystal system: tetragonal.

Cell lengths 4.1528, 4.1528, 16.6312 Å; angles 90.00, 90.00, 90.00 degrees
Last column: nearest neighbours and their distance in Å.
Atoms (fractional coordinates):
1 Pd 0.5000 0.0000 0.1136  2 Hf 2.81, 8 Pd 2.81-2.99, 2 Nd 3.02
2 Pd 0.0000 0.5000 0.1136  2 Hf 2.81, 8 Pd 2.81-2.99, 2 Nd 3.02
3 Pd 0.0000 0.5000 0.8864  2 Hf 2.81, 8 Pd 2.81-2.99, 2 Nd 3.02
4 Pd 0.5000 0.0000 0.6283  8 Pd 2.94-2.99, 4 Nd 2.96-2.98
5 Pd 0.0000 0.5000 0.3717  8 Pd 2.94-2.99, 4 Nd 2.96-2.98
6 Nd 0.0000 0.0000 0.2451  12 Pd 2.94-3.02
7 Pd 0.0000 0.5000 0.6283  8 Pd 2.94-2.99, 4 Nd 2.96-2.98
8 Nd 0.0000 0.0000 0.5000  12 Pd 2.94-2.98
9 Pd 0.5000 0.0000 0.8864  2 Hf 2.81, 8 Pd 2.81-2.99, 2 Nd 3.02
10 Pd 0.5000 0.5000 0.2426  4 Nd 2.94, 8 Pd 2.99
11 Hf 0.0000 0.0000 0.0000  12 Pd 2.81-2.94
12 Pd 0.5000 0.5000 0.5000  4 Nd 2.94, 8 Pd 2.98
13 Pd 0.5000 0.0000 0.3717  8 Pd 2.94-2.99, 4 Nd 2.96-2.98
14 Nd 0.0000 0.0000 0.7549  12 Pd 2.94-3.02
15 Pd 0.5000 0.5000 0.7574  4 Nd 2.94, 8 Pd 2.99
16 Pd 0.5000 0.5000 0.0000  8 Pd 2.81, 4 Hf 2.94

---

## Sc2SiNi (PBE-GGA)

Data for crystalline Sc2SiNi at its relaxed geometry.

Summary:
The calculation puts the uncorrected formation energy at -693 meV per atom. As for the crystal system: monoclinic.

Cell lengths 3.9728, 5.3859, 7.0309 Å; angles 110.19, 90.00, 90.00 degrees
Last column: nearest neighbours and their distance in Å.
Atoms (fractional coordinates):
1 Sc 0.2500 0.7797 0.0866  3 Ni 2.72-2.76, 4 Si 2.80-2.83
2 Sc 0.7500 0.2092 0.4402  4 Ni 2.70-2.97, 3 Si 2.79
3 Sc 0.7500 0.2203 0.9134  3 Ni 2.72-2.76, 4 Si 2.80-2.83
4 Si 0.7500 0.6606 0.7879  2 Ni 2.45
5 Sc 0.2500 0.7908 0.5598  4 Ni 2.70-2.97, 3 Si 2.79
6 Ni 0.7500 0.6224 0.2848  2 Si 2.45, 4 Sc 2.70-2.72
7 Si 0.2500 0.3394 0.2121  2 Ni 2.45
8 Ni 0.2500 0.3776 0.7152  2 Si 2.45, 4 Sc 2.70-2.72

---

## NaLaI2O (PBE-GGA)

Data for crystalline NaLaI2O at its relaxed geometry.

Summary:
As for the energy above the most stable polymorph in this dataset: 0.000 eV/atom. The calculation puts the uncorrected formation energy at -1778 meV per atom. As for the crystal system: tetragonal.

Cell lengths 6.5950, 6.5950, 4.3616 Å; angles 90.00, 90.00, 90.00 degrees
Last column: nearest neighbours and their distance in Å.
Atoms (fractional coordinates):
1 Na 0.5000 0.5000 0.5000  8 I 3.95, 2 Na 4.36
2 La 0.0000 0.0000 0.0000  2 O 2.18
3 I 0.5000 0.0000 0.0000  2 La 3.30
4 I 0.0000 0.5000 0.0000  2 La 3.30
5 O 0.0000 0.0000 0.5000  2 La 2.18

---

## As2PPt (PBE-GGA)

Data for crystalline As2PPt at its relaxed geometry.

Summary:
Its energy relative to the elements is -0.099 eV/atom. As for the crystal system: monoclinic.

Cell lengths 3.9782, 3.9782, 6.1801 Å; angles 81.66, 81.66, 53.94 degrees
Last column: nearest neighbours and their distance in Å.
Atoms (fractional coordinates):
1 As 0.6735 0.6735 0.7630  1 P 2.34, 2 As 2.56
2 Pt 0.2561 0.2561 0.2826  3 P 2.38-2.46, 1 As 2.53
3 P 0.5575 0.5575 0.4300  1 As 2.34, 3 Pt 2.38-2.46
4 As 0.0130 0.0130 0.0244  1 Pt 2.53, 2 As 2.56

---

## La2TbNdHo2 (PBE-GGA)

Data for crystalline La2TbNdHo2 at its relaxed geometry.

Summary:
Its energy relative to the elements is 0.070 eV/atom. As for the crystal system: orthorhombic.

Cell lengths 5.7487, 7.0972, 9.9827 Å; angles 90.00, 90.00, 90.00 degrees
Last column: nearest neighbours and their distance in Å.
Atoms (fractional coordinates):
1 Nd 0.0000 0.0078 0.5003  2 Nd 3.55, 2 La 3.75, 4 Tb 3.75, 6 Ho 3.76-3.77
2 Nd 0.0000 0.5078 0.4997  2 Nd 3.55, 2 La 3.75, 4 Tb 3.75, 6 Ho 3.76-3.77
3 Ho 0.0000 0.2574 0.8323  2 Tb 3.33, 3 La 3.36-3.55
4 La 0.5000 0.5074 0.0004  6 La 3.55-3.78, 6 Ho 3.77-3.79, 2 Tb 3.79-3.80
5 La 0.0000 0.7571 0.8310  5 Ho 3.31-3.55
6 Ho 0.0000 0.7574 0.1677  2 Tb 3.33, 3 La 3.36-3.55
7 Tb 0.5000 0.2581 0.6639  5 Ho 3.29-3.55
8 Tb 0.5000 0.7581 0.3361  5 Ho 3.29-3.55
9 Ho 0.5000 0.7578 0.6656  3 Tb 3.29-3.55, 2 La 3.31
10 La 0.0000 0.2571 0.1690  5 Ho 3.31-3.55
11 Ho 0.5000 0.2578 0.3344  3 Tb 3.29-3.55, 2 La 3.31
12 La 0.5000 0.0074 0.9996  6 La 3.55-3.78, 6 Ho 3.77-3.79, 2 Tb 3.79-3.80

---

## K2Ca3Br8 (PBE-GGA)

Data for crystalline K2Ca3Br8 at its relaxed geometry.

Summary:
The calculation puts the uncorrected formation energy at -1965 meV per atom. As for the crystal system: monoclinic.

Cell lengths 7.4581, 8.7169, 9.1461 Å; angles 118.46, 106.39, 90.00 degrees
Last column: nearest neighbours and their distance in Å.
Atoms (fractional coordinates):
1 Ca 0.0000 0.7414 0.0000  6 Br 2.88-3.01
2 Br 0.6049 0.6641 0.7842  2 Ca 2.91
3 Br 0.3951 0.8799 0.2158  2 Ca 2.91
4 Br 0.0940 0.8968 0.7937  3 Ca 2.95-3.01
5 Br 0.9450 0.6116 0.2232  2 Ca 2.88
6 Br 0.6049 0.1201 0.7842  2 Ca 2.91
7 K 0.6595 0.7311 0.4622  6 Br 3.29-3.47
8 Br 0.3951 0.3359 0.2158  2 Ca 2.91
9 Ca 0.5000 0.0000 0.0000  6 Br 2.91-2.95
10 Ca 0.0000 0.2586 0.0000  6 Br 2.88-3.01
11 Br 0.9060 0.1032 0.2063  3 Ca 2.95-3.01
12 K 0.3405 0.2689 0.5378  6 Br 3.29-3.47
13 Br 0.0550 0.3884 0.7768  2 Ca 2.88

---

## K2TlTc (PBE-GGA)

Data for crystalline K2TlTc at its relaxed geometry.

Summary:
Its energy relative to the elements is 1.006 eV/atom. As for the energy above the most stable polymorph in this dataset: 0.335 eV/atom. As for the crystal system: monoclinic.

Cell lengths 5.8635, 3.0708, 6.1403 Å; angles 71.82, 90.00, 90.00 degrees
Last column: nearest neighbours and their distance in Å.
Atoms (fractional coordinates):
1 K 0.0000 0.4895 0.4919  4 K 2.90-3.07
2 K 0.0000 0.0105 0.0081  4 K 2.90-3.07
3 Tl 0.5000 0.7500 0.7500  2 Tc 2.97, 2 Tl 3.07
4 Tc 0.5000 0.2500 0.2500  2 Tl 2.97, 2 Tc 3.07

---

## LiReNiRh2 (PBE-GGA)

Data for crystalline LiReNiRh2 at its relaxed geometry.

Summary:
Its energy relative to the elements is 1.154 eV/atom. As for the crystal system: tetragonal.

Cell lengths 4.4904, 3.8253, 4.4904 Å; angles 90.00, 90.00, 90.00 degrees
Last column: nearest neighbours and their distance in Å.
Atoms (fractional coordinates):
1 Li 0.0000 0.5000 0.0000  2 Ni 1.91
2 Re 0.5000 0.5000 0.5000  8 Rh 2.95, 4 Li 3.18
3 Rh 0.5000 0.0000 0.0000  2 Ni 2.25
4 Ni 0.0000 0.0000 0.0000  2 Li 1.91
5 Rh 0.0000 0.0000 0.5000  2 Ni 2.25

---

Number 1: VASP energy -5.9 eV per formula unit. Number 2: VASP energy -25.3 eV per formula unit. Number 3: VASP energy -13.0 eV per formula unit. Number 4: VASP energy -26.9 eV per formula unit. Number 5: VASP energy -99.4 eV per formula unit. Number 6: VASP energy -26.6 eV per formula unit. Number 7: VASP energy -23.2 eV per formula unit. Number 8: VASP energy -21.1 eV per formula unit. Number 9: VASP energy -28.0 eV per formula unit. Number 10: VASP energy -47.1 eV per formula unit. Number 11: VASP energy -10.9 eV per formula unit. Number 12: VASP energy -29.1 eV per formula unit.